No. 1
## SiAgP2Cl (PBE-GGA)

Data for an optimized crystal structure of SiAgP2Cl.

DOS at the Fermi energy	3.52	states/eV/f.u.

```
SiAgP2Cl
1.0
4.5668 0.0000 0.0000
0.0000 4.5668 0.0000
0.0000 0.0000 4.8316
P Si Ag Cl
2 1 1 1
Cartesian
0.0000 2.2834 0.0000
2.2834 0.0000 0.0000
0.0000 0.0000 0.0000
2.2834 2.2834 2.4158
0.0000 0.0000 2.4158
```

---

No. 2
## SiAgP2Cl (PBE-GGA)

Data for an optimized crystal structure of SiAgP2Cl.

DOS at the Fermi energy	4.38	states/eV/f.u.

```
SiAgP2Cl
1.0
-1.1319 4.4631 1.3495
-1.6135 0.9280 -4.4223
-4.6037 -1.5755 1.3491
P Si Ag Cl
2 1 1 1
Cartesian
-0.8068 0.4640 -2.2112
-0.5659 2.2315 0.6748
-3.6746 1.9078 -0.8618
0.0000 0.0000 0.0000
-2.3019 -0.7877 0.6746
```

---

No. 3
## AgSnPCl2 (PBE-GGA)

Data for an optimized crystal structure of AgSnPCl2.

DOS at the Fermi energy	2.06	states/eV/f.u.

```
AgSnPCl2
1.0
5.2154 0.0000 0.0000
0.0000 5.2154 0.0000
0.0000 0.0000 5.2750
P Sn Ag Cl
1 1 1 2
Cartesian
0.0000 0.0000 2.6375
0.0000 0.0000 0.0000
2.6077 2.6077 2.6375
0.0000 2.6077 0.0000
2.6077 0.0000 0.0000
```

---

No. 4
## AgSnPCl2 (PBE-GGA)

Data for an optimized crystal structure of AgSnPCl2.

DOS at the Fermi energy	4.17	states/eV/f.u.

```
AgSnPCl2
1.0
4.9421 0.0000 0.0000
0.0000 4.9421 0.0000
0.0000 0.0000 5.0918
P Sn Ag Cl
1 1 1 2
Cartesian
0.0000 0.0000 2.5459
2.4711 2.4711 2.5459
0.0000 0.0000 0.0000
0.0000 2.4711 0.0000
2.4711 0.0000 0.0000
```

---

No. 5
## TaAgPCl2 (PBE-GGA)

Data for an optimized crystal structure of TaAgPCl2.

DOS at the Fermi energy	6.76	states/eV/f.u.

```
TaAgPCl2
1.0
-0.8689 2.6439 3.8172
3.7175 -1.9309 2.1836
3.0450 3.7270 -1.8883
P Cl Ag Ta
1 2 1 1
Cartesian
1.5225 1.8635 -0.9442
1.8587 -0.9655 1.0918
-0.4344 1.3220 1.9086
0.0000 0.0000 0.0000
2.9468 2.2200 2.0562
```

---

No. 6
## TaAgP2Cl (PBE-GGA)

Data for an optimized crystal structure of TaAgP2Cl.

DOS at the Fermi energy	5.78	states/eV/f.u.

```
TaAgP2Cl
1.0
-2.6318 3.9411 0.3581
-2.2216 -1.1155 -4.0505
-3.2028 -2.3574 2.4059
P Cl Ag Ta
2 1 1 1
Cartesian
-1.1108 -0.5578 -2.0253
-1.3159 1.9706 0.1790
-1.6014 -1.1787 1.2029
0.0000 0.0000 0.0000
-4.0281 0.2341 -0.6433
```

---

No. 7
## TaAg2PCl (PBE-GGA)

Data for an optimized crystal structure of TaAg2PCl.

DOS at the Fermi energy	3.43	states/eV/f.u.

```
TaAg2PCl
1.0
-4.2419 1.8888 -1.1385
-1.6783 -4.3799 -1.0134
-1.4380 -0.4976 4.5323
P Cl Ag Ta
1 1 2 1
Cartesian
0.0000 0.0000 0.0000
-3.6791 -1.4943 1.1902
-0.7190 -0.2488 2.2662
-2.1209 0.9444 -0.5692
-0.8392 -2.1899 -0.5067
```

---

No. 8
## TaAgPCl2 (PBE-GGA)

Data for an optimized crystal structure of TaAgPCl2.

DOS at the Fermi energy	1.04	states/eV/f.u.

```
TaAgPCl2
1.0
4.7955 0.0000 0.0000
0.0000 4.7955 0.0000
0.0000 0.0000 4.9785
P Cl Ag Ta
1 2 1 1
Cartesian
0.0000 0.0000 2.4892
0.0000 2.3977 0.0000
2.3977 0.0000 0.0000
2.3977 2.3977 2.4892
0.0000 0.0000 0.0000
```

---

No. 9
## TaAgP2Cl (PBE-GGA)

Data for an optimized crystal structure of TaAgP2Cl.

DOS at the Fermi energy	2.30	states/eV/f.u.

```
TaAgP2Cl
1.0
4.8538 0.0000 0.0000
0.0000 4.8538 0.0000
0.0000 0.0000 4.8545
P Cl Ag Ta
2 1 1 1
Cartesian
0.0000 2.4269 0.0000
2.4269 0.0000 0.0000
0.0000 0.0000 2.4272
2.4269 2.4269 2.4272
0.0000 0.0000 0.0000
```

---

No. 10
## TcAgP2Cl (PBE-GGA)

Data for an optimized crystal structure of TcAgP2Cl.

DOS at the Fermi energy	2.87	states/eV/f.u.

```
TcAgP2Cl
1.0
4.7979 0.0000 0.0000
0.0000 4.7979 0.0000
0.0000 0.0000 4.9616
P Tc Ag Cl
2 1 1 1
Cartesian
0.0000 2.3990 0.0000
2.3990 0.0000 0.0000
2.3990 2.3990 2.4808
0.0000 0.0000 0.0000
0.0000 0.0000 2.4808
```

---

No. 11
## TcAgP2Cl (PBE-GGA)

Data for an optimized crystal structure of TcAgP2Cl.

DOS at the Fermi energy	2.06	states/eV/f.u.

```
TcAgP2Cl
1.0
-3.6340 -1.3125 2.3450
2.6581 -1.1759 3.4612
-0.4631 4.8796 2.0134
P Tc Ag Cl
2 1 1 1
Cartesian
1.3290 -0.5879 1.7306
-1.8170 -0.6562 1.1725
0.0000 0.0000 0.0000
-0.7195 1.1957 3.9098
-0.2315 2.4398 1.0067
```

---

No. 12
## AgTePCl2 (PBE-GGA)

Data for an optimized crystal structure of AgTePCl2.

DOS at the Fermi energy	2.19	states/eV/f.u.

```
AgTePCl2
1.0
-5.2826 -0.8249 1.1827
1.3958 -4.0521 3.4085
0.3289 3.2637 3.7453
P Te Ag Cl
1 1 1 2
Cartesian
0.1645 1.6318 1.8726
0.0000 0.0000 0.0000
-1.7790 -0.8067 4.1682
0.6979 -2.0261 1.7042
-2.6413 -0.4124 0.5913
```

---

| no. | formation energy (no corrections) (eV/atom) | volume (Å³/cell) |
| --- | --- | --- |
| 1 | 0.58 | 100.8 |
| 2 | 1.12 | 116.2 |
| 3 | 0.18 | 143.5 |
| 4 | 0.20 | 124.4 |
| 5 | 1.09 | 115.4 |
| 6 | 1.36 | 105.0 |
| 7 | 0.46 | 109.7 |
| 8 | -0.09 | 114.5 |
| 9 | 0.17 | 114.4 |
| 10 | 1.37 | 114.2 |
| 11 | 0.37 | 108.2 |
| 12 | 0.43 | 149.3 |